DFT (PBE with a Hubbard U) results for FePtF2 after structural relaxation.

Structure (POSCAR):
```
FePtF2
1.0
6.735 0.000 0.000
0.000 6.735 0.000
0.000 0.000 5.357
Fe Pt F
4 4 8
direct
0.000 0.000 0.000
0.000 0.500 0.250
0.500 0.000 0.750
0.500 0.500 0.500
0.000 0.000 0.500
0.000 0.500 0.750
0.500 0.000 0.250
0.500 0.500 0.000
0.124 0.750 0.125
0.250 0.124 0.875
0.250 0.376 0.375
0.376 0.750 0.625
0.624 0.250 0.625
0.750 0.624 0.375
0.750 0.876 0.875
0.876 0.250 0.125
```

Computed properties:
Space group: I-42d (122)
Polymorph energy (0 for the lowest one) (meV per atom): 0
E_tot (eV per atom): -4.6094
M_tot (μB per formula unit): 4.46